The following is a PBE calculation of an optimized crystal structure of BeHg3Sb, from Alexandria.

a = 4.902 Å, b = 4.902 Å, c = 4.902 Å
α = 90.00°, β = 90.00°, γ = 90.00°
Space group Pm-3m (No. 221)
Unique sites:
Be: 0.000 0.000 0.000 [1 per cell]
Hg: 0.000 0.000 0.500 [3 per cell]
Sb: 0.500 0.500 0.500 [1 per cell]

Output
As for the total energy: -1.3712 eV per atom. Its density of states at the Fermi level is 2.50 states/eV/cell. The uncorrected formation energy comes out at 0.38 eV/atom. The calculation puts the energy relative to the lowest polymorph listed for this composition at 0.00 eV per formula unit. The crystal system is cubic.